# LaPrY5Th2

An optimized crystal structure of LaPrY5Th2 (PBE-GGA, Alexandria).

Computed properties:
**E_form**: 261.3 kJ/mol of formula units
**Fermi-level density of states**: 1.4051 states/eV/atom
**Space-group type**: I4/mcm, No. 140
**Electronic total energy**: -6.018 eV/atom

The structure in POSCAR format:
```
LaPrY5Th2
1.0
8.972 0.000 0.000
0.000 8.972 0.000
-4.486 -4.486 7.702
La Pr Y Th
2 2 10 4
Direct
0.250 0.250 0.500
0.750 0.750 0.500
0.250 0.750 0.500
0.750 0.250 0.500
0.929 0.429 0.269
0.660 0.160 0.731
0.071 0.571 0.731
0.160 0.071 0.731
0.571 0.660 0.731
0.840 0.929 0.269
0.429 0.340 0.269
0.340 0.840 0.269
0.500 0.500 0.000
0.000 0.000 0.000
0.118 0.382 0.000
0.618 0.118 0.000
0.382 0.882 0.000
0.882 0.618 0.000
```